This record from the Alexandria database describes a relaxed structure of RbBiMo2O8. The functional is PBE with a Hubbard U.

a = 11.8736 Å, b = 12.3074 Å, c = 5.3328 Å
α = 90.00°, β = 92.68°, γ = 90.00°
Closest atoms and distances in Å follow each position.
Space group P2_1/c (No. 14)
Symmetry-distinct sites (fractional):
1 Rb 0.1207 0.1229 0.4800 [4 per cell]  8 O 2.90-3.18
2 Bi 0.3821 0.6242 0.9899 [4 per cell]  6 O 2.29-2.55
3 Mo 0.1591 0.6507 0.4953 [4 per cell]  4 O 1.74-1.93
4 Mo 0.3847 0.1125 0.9740 [4 per cell]  4 O 1.75-1.84
5 O 0.0660 0.7270 0.6842 [4 per cell]  1 Mo 1.79
6 O 0.0805 0.5551 0.3210 [4 per cell]  1 Mo 1.74
7 O 0.2353 0.5656 0.7322 [4 per cell]  1 Mo 1.85
8 O 0.2741 0.1932 0.0735 [4 per cell]  1 Mo 1.75
9 O 0.2807 0.7100 0.3113 [4 per cell]  1 Mo 1.93
10 O 0.3231 0.0245 0.7325 [4 per cell]  1 Mo 1.81
11 O 0.4497 0.0404 0.2472 [4 per cell]  1 Mo 1.84
12 O 0.4936 0.1970 0.8415 [4 per cell]  1 Mo 1.83

Results
- magnetic moment (μB per atom) = 0.000
- distance to the lowest polymorph of the same formula (meV per atom) = 7